The following is a DFT calculation (GGA-PBE) of a geometry-optimized TlAgF2 structure.

Summary:
Polymorph energy (0 for the lowest one), eV/atom: 0.2070
Magnetization, μB/atom: 0.0639
Formation energy without anion corrections, eV per atom: -1.131
Crystal system: trigonal

Structure (POSCAR):
```
TlAgF2
1.0
1.804 1.042 7.475
-1.804 1.042 7.475
0.000 -2.083 7.475
Tl Ag F
1 1 2
direct
0.000 0.000 0.000
0.500 0.500 0.500
0.109 0.109 0.109
0.891 0.891 0.891
```

=====

The following is a DFT calculation (GGA-PBE) of a geometry-optimized CsAgBr3 structure.

Summary:
Magnetization, μB/atom: 0.0000
Formation energy without anion corrections, eV per atom: -0.633
Crystal system: orthorhombic

Structure (POSCAR):
```
CsAgBr3
1.0
2.672 -10.183 0.000
2.672 10.183 0.000
0.000 0.000 7.006
Cs Ag Br
2 2 6
direct
0.155 0.845 0.750
0.845 0.155 0.250
0.476 0.524 0.750
0.524 0.476 0.250
0.000 0.000 0.000
0.000 0.000 0.500
0.077 0.422 0.750
0.422 0.077 0.250
0.578 0.923 0.750
0.923 0.578 0.250
```

=====

The following is a DFT calculation (GGA-PBE) of a geometry-optimized CuCSeBr2 structure.

Summary:
Polymorph energy (0 for the lowest one), eV/atom: 0.0000
Magnetization, μB/atom: 0.0000
Formation energy without anion corrections, eV per atom: 1.250
Crystal system: tetragonal

Structure (POSCAR):
```
CuCSeBr2
1.0
4.863 0.000 0.000
0.000 4.863 0.000
0.000 0.000 4.248
Cu C Se Br
1 1 1 2
direct
0.000 0.000 0.000
0.500 0.500 0.500
0.500 0.500 0.000
0.000 0.500 0.500
0.500 0.000 0.500
```

=====

The following is a DFT calculation (GGA-PBE) of a geometry-optimized BaNdAgTe3 structure.

Summary:
Magnetization, μB/atom: 0.0000
Formation energy without anion corrections, eV per atom: -1.268
Crystal system: monoclinic

Structure (POSCAR):
```
BaNdAgTe3
1.0
9.455 0.000 0.000
0.000 4.582 0.000
-2.577 0.000 9.879
Ba Nd Ag Te
2 2 2 6
direct
0.194 0.250 0.246
0.806 0.750 0.754
0.323 0.750 0.837
0.677 0.250 0.163
0.082 0.250 0.586
0.918 0.750 0.414
0.100 0.250 0.871
0.239 0.750 0.519
0.442 0.750 0.163
0.558 0.250 0.837
0.761 0.250 0.481
0.900 0.750 0.129
```

=====

The following is a DFT calculation (GGA-PBE) of a geometry-optimized Cs2BBr6O structure.

Summary:
Magnetization, μB/atom: 0.1000
Formation energy without anion corrections, eV per atom: -0.481
Crystal system: tetragonal

Structure (POSCAR):
```
Cs2BBr6O
1.0
-3.926 3.926 5.388
3.926 -3.926 5.388
3.926 3.926 -5.388
Cs B Br O
2 1 6 1
direct
0.250 0.750 0.500
0.750 0.250 0.500
0.000 0.000 0.000
0.196 0.196 0.393
0.196 0.804 0.000
0.303 0.303 0.000
0.697 0.697 0.000
0.804 0.196 0.000
0.804 0.804 0.607
0.500 0.500 0.000
```

=====

The following is a DFT calculation (GGA-PBE) of a geometry-optimized Y2Ga3Pt structure.

Summary:
Formation enthalpy at 0 K, eV/atom: -0.88
Magnetization, μB/atom: 0.0000
Crystal system: monoclinic

Structure (POSCAR):
```
Y2Ga3Pt
1.0
5.172 -2.219 0.000
5.172 2.219 0.000
-4.813 0.000 5.283
Y Ga Pt
2 3 1
direct
0.000 0.000 0.000
0.087 0.087 0.594
0.377 0.377 0.200
0.700 0.700 0.996
0.708 0.708 0.405
0.375 0.375 0.587
```

=====

The following is a DFT calculation (GGA-PBE) of a geometry-optimized PmCr2C3 structure.

Summary:
Formation enthalpy at 0 K, eV/atom: 0.08
Magnetization, μB/atom: 0.0000
Crystal system: orthorhombic

Structure (POSCAR):
```
PmCr2C3
1.0
2.852 -5.317 0.000
2.852 5.317 0.000
0.000 0.000 4.933
Pm Cr C
2 4 6
direct
0.243 0.757 0.750
0.757 0.243 0.250
0.276 0.276 0.000
0.276 0.276 0.500
0.724 0.724 0.000
0.724 0.724 0.500
0.001 0.246 0.750
0.246 0.001 0.250
0.425 0.575 0.250
0.575 0.425 0.750
0.754 0.999 0.750
0.999 0.754 0.250
```

=====

The following is a DFT calculation (GGA-PBE) of a geometry-optimized LiSiAs2 structure.

Summary:
Magnetization, μB/atom: 0.0000
Formation energy without anion corrections, eV per atom: -0.132
Crystal system: orthorhombic

Structure (POSCAR):
```
LiSiAs2
1.0
2.680 0.000 0.000
0.000 4.371 0.000
0.000 0.000 6.854
Li Si As
1 1 2
direct
0.000 0.000 0.000
0.500 0.500 0.525
0.500 0.000 0.349
0.500 0.500 0.874
```

=====

The following is a DFT calculation (GGA-PBE) of a geometry-optimized VTe2As structure.

Summary:
Magnetization, μB/atom: 0.9198
Formation energy without anion corrections, eV per atom: 0.304
Crystal system: tetragonal

Structure (POSCAR):
```
VTe2As
1.0
-3.089 3.089 6.877
3.089 -3.089 6.877
3.089 3.089 -6.877
V Te As
2 4 2
direct
0.000 0.000 0.000
0.750 0.250 0.500
0.101 0.625 0.976
0.375 0.351 0.476
0.649 0.125 0.024
0.875 0.899 0.524
0.250 0.750 0.500
0.500 0.500 0.000
```

=====

The following is a DFT calculation (GGA-PBE) of a geometry-optimized Ho8GaTc2 structure.

Summary:
Formation enthalpy at 0 K, eV/atom: -0.11
Magnetization, μB/atom: 0.0000
Crystal system: monoclinic

Structure (POSCAR):
```
Ho8GaTc2
1.0
4.355 -6.458 0.000
4.355 6.458 0.000
-1.400 0.000 5.257
Ho Ga Tc
8 1 2
direct
0.000 0.000 0.000
0.046 0.312 0.609
0.137 0.615 0.192
0.312 0.046 0.609
0.439 0.706 0.775
0.615 0.137 0.192
0.706 0.439 0.775
0.752 0.752 0.384
0.376 0.376 0.189
0.060 0.692 0.692
0.692 0.060 0.692
```

=====

The following is a DFT calculation (GGA-PBE) of a geometry-optimized In2TeBr structure.

Summary:
Polymorph energy (0 for the lowest one), eV/atom: 0.1196
Magnetization, μB/atom: 0.0000
Formation energy without anion corrections, eV per atom: -0.299
Crystal system: monoclinic

Structure (POSCAR):
```
In2TeBr
1.0
6.775 -1.863 0.000
6.775 1.863 0.000
-1.863 0.000 4.825
In Te Br
2 1 1
direct
0.000 0.000 0.000
0.711 0.711 0.288
0.297 0.297 0.846
0.515 0.515 0.552
```

=====

The following is a DFT calculation (GGA-PBE) of a geometry-optimized PaBiPdN structure.

Summary:
Magnetization, μB/atom: 0.0000
Formation energy without anion corrections, eV per atom: -0.743
Crystal system: tetragonal

Structure (POSCAR):
```
PaBiPdN
1.0
4.360 0.000 0.000
0.000 4.360 0.000
0.000 0.000 8.359
Pa Bi Pd N
2 2 2 2
direct
0.250 0.250 0.107
0.750 0.750 0.893
0.250 0.750 0.500
0.750 0.250 0.500
0.250 0.250 0.729
0.750 0.750 0.271
0.250 0.750 0.000
0.750 0.250 0.000
```

=====

Number 1: calculated volume 21.065 A^3/atom. Number 2: calculated volume 38.122 A^3/atom. Number 3: calculated volume 20.087 A^3/atom. Number 4: calculated volume 35.668 A^3/atom. Number 5: calculated volume 33.220 A^3/atom. Number 6: calculated volume 20.208 A^3/atom. Number 7: calculated volume 12.466 A^3/atom. Number 8: calculated volume 20.068 A^3/atom. Number 9: calculated volume 32.801 A^3/atom. Number 10: calculated volume 26.882 A^3/atom. Number 11: calculated volume 30.448 A^3/atom. Number 12: calculated volume 19.861 A^3/atom.